Crystalline Tl2Ag2Te4As at its relaxed geometry, computed with PBE.

Values from the calculation:
The value obtained for the spin magnetization is 0.00 μB per atom. Its total energy is -3.18 eV/atom. The value obtained for the raw formation energy is -0.110 eV/atom.

Cell lengths 4.240, 8.556, 8.225 Å; angles 112.38, 90.00, 104.35 degrees
Atoms (fractional coordinates):
Te (0.507, 0.015, 0.758)
Te (0.191, 0.383, 0.207)
Te (0.493, 0.985, 0.242)
Te (0.809, 0.617, 0.793)
Tl (0.130, 0.260, 0.581)
Tl (0.870, 0.740, 0.419)
Ag (0.688, 0.376, 0.974)
Ag (0.312, 0.624, 0.026)
As (0.000, 0.000, 0.000)